VASP calculation (PBE-GGA) on a relaxed MnCoHPt2 crystal.

```
5
Lattice="-2.6051 -2.8594 0.4463 2.5970 -2.0449 2.0581 -1.2920 1.6944 3.3138" Properties=species:S:1:pos:R:3 pbc="T T T"
Co -0.6501 -1.6049 2.9091
Pt -1.3026 -1.4297 0.2231
H 0.0000 0.0000 0.0000
Pt 1.2985 -1.0224 1.0291
Mn -0.6460 0.8472 1.6569
```

## Properties
The value obtained for the offset from the most stable computed form is 0.039 eV per atom. The spin magnetization is 6.2 μB per formula unit. The value obtained for the calculated total energy is -6.42 eV per atom.


VASP calculation (PBE-GGA) on a relaxed LaGeAu crystal.

```
12
Lattice="-5.8700 0.9370 -2.0734 -1.1331 -4.2816 1.2731 -2.8289 3.6159 9.6431" Properties=species:S:1:pos:R:3 pbc="T T T"
La -7.7854 0.7241 8.0173
Au -3.3341 2.0067 7.9518
La -2.0466 -0.4529 0.8255
La -4.0367 -0.7844 6.2804
Au -5.8814 1.9795 5.5932
La -5.7953 1.0556 2.5624
Ge -4.8629 0.2803 9.1257
Ge -6.9438 -0.3430 5.1774
Au -3.9506 -1.7083 3.2496
Ge -2.8882 0.6142 3.6654
Au -6.4979 -1.7355 0.8910
Ge -4.9691 -0.0091 -0.2829
```

## Properties
The spin magnetization is 0.0 μB per formula unit. The value obtained for the calculated total energy is -4.91 eV per atom.


VASP calculation (PBE-GGA) on a relaxed K2CaPt crystal.

```
4
Lattice="-5.1969 -0.2410 -0.2373 -3.2933 -2.5611 -3.1172 -2.2702 -7.5940 4.6172" Properties=species:S:1:pos:R:3 pbc="T T T"
K -8.6287 -3.3641 -2.9932
Ca -2.4256 -3.3710 1.1124
K -8.5979 -7.4566 0.3241
Pt -4.9785 -4.2044 0.0964
```

## Properties
The value obtained for the offset from the most stable computed form is 0.073 eV per atom. The spin magnetization is 0.0 μB per formula unit. The value obtained for the calculated total energy is -2.74 eV per atom.


VASP calculation (PBE-GGA) on a relaxed LaSc5 crystal.

```
6
Lattice="3.3800 0.0000 0.0000 1.6900 8.8224 0.0000 0.0000 0.0000 5.3213" Properties=species:S:1:pos:R:3 pbc="T T T"
La 1.6900 8.7977 0.0000
Sc 1.6900 3.0569 0.0000
Sc 3.3800 7.7600 2.6606
Sc 1.6900 4.8731 2.6606
Sc 3.3800 2.0573 2.6606
Sc 3.3800 5.8039 0.0000
```

## Properties
The value obtained for the offset from the most stable computed form is 0.009 eV per atom. The spin magnetization is 0.0 μB per formula unit. The value obtained for the calculated total energy is -6.04 eV per atom.


VASP calculation (PBE-GGA) on a relaxed LiNb2CrSb crystal.

```
5
Lattice="-2.4568 0.6038 -4.4143 -3.7754 -0.1656 2.0786 0.1215 5.0481 0.6229" Properties=species:S:1:pos:R:3 pbc="T T T"
Nb -1.2284 0.3019 -2.2071
Cr -3.0554 2.7431 -0.8564
Sb 0.0000 0.0000 0.0000
Li -1.8877 -0.0828 1.0393
Nb 0.0607 2.5241 0.3114
```

## Properties
For the energy relative to the elements, uncorrected, the calculation gives 1.5577 eV per atom. The spin magnetization is 0.2 μB per formula unit. The value obtained for the calculated total energy is -5.60 eV per atom.


VASP calculation (PBE-GGA) on a relaxed K2PrF5 crystal.

```
32
Lattice="6.7702 0.0000 0.0000 0.0000 7.6563 0.0000 0.0000 0.0000 11.0444" Properties=species:S:1:pos:R:3 pbc="T T T"
K 6.5872 3.8058 7.4243
F 2.4281 5.7423 3.6319
F 5.7759 0.2518 10.1287
F 1.1689 1.9141 8.8474
K 0.1830 3.8506 3.6201
K 3.5681 0.0224 1.9021
K 3.2021 3.8506 9.1423
Pr 2.9539 1.9141 5.5779
Pr 6.3390 5.7423 10.9887
F 5.7759 3.5764 10.1287
F 4.5540 5.7423 7.7192
K 3.2021 7.6340 9.1423
F 4.3793 0.2518 4.6065
F 0.9570 5.7423 9.1541
K 6.5872 0.0224 7.4243
F 2.7534 1.9141 0.1211
F 4.3793 3.5764 4.6065
Pr 3.8162 5.7423 5.4665
F 2.3908 7.4045 6.4379
F 2.2162 1.9141 3.3252
F 0.9943 7.4045 0.9157
F 4.3421 1.9141 7.4125
F 2.3908 4.0800 6.4379
F 5.8132 1.9141 1.8903
F 0.9943 4.0800 0.9157
F 0.6317 1.9141 5.6432
F 6.1385 5.7423 5.4011
F 4.0168 5.7423 10.9233
K 0.1830 7.6340 3.6201
Pr 0.4312 1.9141 0.0557
K 3.5681 3.8058 1.9021
F 5.6012 5.7423 2.1970
```

## Properties
For the energy relative to the elements, uncorrected, the calculation gives -3.4495 eV per atom. The spin magnetization is 0.2 μB per formula unit. The value obtained for the calculated total energy is -5.49 eV per atom.


VASP calculation (PBE-GGA) on a relaxed Pb2AuI2 crystal.

```
10
Lattice="7.9958 0.0000 0.0000 0.0000 7.9958 0.0000 0.0000 0.0000 5.3259" Properties=species:S:1:pos:R:3 pbc="T T T"
Pb 1.3562 2.6417 0.0000
I 2.6191 1.3788 2.6630
Pb 5.3541 1.3562 0.0000
I 5.3767 6.6170 2.6630
Au 0.0000 0.0000 0.0000
I 1.3788 5.3767 2.6630
Pb 6.6396 5.3541 0.0000
Pb 2.6417 6.6396 0.0000
I 6.6170 2.6191 2.6630
Au 3.9979 3.9979 0.0000
```

## Properties
For the energy relative to the elements, uncorrected, the calculation gives -0.1635 eV per atom. The spin magnetization is 0.0 μB per formula unit. The value obtained for the calculated total energy is -2.92 eV per atom.


VASP calculation (PBE-GGA) on a relaxed TcOsBr2 crystal.

```
4
Lattice="2.9612 0.0000 0.0000 0.0000 5.5235 0.0000 0.0000 0.0000 4.4295" Properties=species:S:1:pos:R:3 pbc="T T T"
Br 0.0000 0.0000 0.0000
Tc 0.0000 2.7618 2.2147
Os 1.4806 0.0000 2.2147
Br 1.4806 2.7618 0.0000
```

## Properties
The value obtained for the offset from the most stable computed form is 1.036 eV per atom. For the energy relative to the elements, uncorrected, the calculation gives 1.3162 eV per atom. The spin magnetization is 1.7 μB per formula unit. The value obtained for the calculated total energy is -4.92 eV per atom.